(1)
VASP calculation (PBE) on a relaxed structure of KTaAg2.

The energy of formation from the pure elements comes out at 1.07 eV/atom. The total magnetization is 1.104 μB per formula unit. The value obtained for the uncorrected energy is -14.38 eV for the cell shown.

Cell lengths 2.8303, 5.3808, 6.0205 Å; angles 90.00, 90.00, 90.00 degrees
Sites, in units of the cell vectors:
K: 0.0000 0.0000 0.0000
Ta: 0.5000 0.0000 0.5000
Ag: 0.0000 0.5000 0.5000
Ag: 0.5000 0.5000 0.0000

---

(2)
VASP calculation (PBE) on a relaxed structure of Pm5H2Pb5.

The total magnetization is 0.000 μB per formula unit. The value obtained for the uncorrected energy is -54.94 eV for the cell shown.

Cell lengths 6.4295, 6.4295, 11.8530 Å; angles 103.16, 103.16, 41.59 degrees
Sites, in units of the cell vectors:
Pm: 0.0000 0.0000 0.0000
Pm: 0.1179 0.1179 0.3384
Pm: 0.3741 0.3741 0.1817
Pm: 0.6259 0.6259 0.8183
Pm: 0.8821 0.8821 0.6616
H: 0.0479 0.0479 0.8218
H: 0.9521 0.9521 0.1782
Pb: 0.1758 0.1758 0.6264
Pb: 0.3419 0.3419 0.8705
Pb: 0.5000 0.5000 0.5000
Pb: 0.6581 0.6581 0.1295
Pb: 0.8242 0.8242 0.3736

---

(3)
VASP calculation (PBE) on a relaxed structure of NdHo2Cr2C4.

The energy of formation from the pure elements comes out at -0.02 eV/atom. The total magnetization is 0.004 μB per formula unit. The value obtained for the uncorrected energy is -70.22 eV for the cell shown.

Cell lengths 6.8859, 6.8859, 6.0572 Å; angles 111.78, 111.78, 28.82 degrees
Sites, in units of the cell vectors:
Nd: 0.0000 0.0000 0.0000
Ho: 0.1348 0.1348 0.5474
Ho: 0.8652 0.8652 0.4526
Cr: 0.3210 0.3210 0.0179
Cr: 0.6790 0.6790 0.9821
C: 0.2185 0.2185 0.1826
C: 0.4580 0.4580 0.2675
C: 0.5420 0.5420 0.7325
C: 0.7815 0.7815 0.8174

---

(4)
VASP calculation (PBE) on a relaxed structure of Li2Er3In5.

The energy of formation from the pure elements comes out at -0.35 eV/atom. The total magnetization is 0.000 μB per formula unit. The value obtained for the uncorrected energy is -69.44 eV for the cell shown.

Cell lengths 10.2764, 10.2764, 4.3757 Å; angles 90.00, 90.00, 90.00 degrees
Sites, in units of the cell vectors:
Li: 0.1204 0.3796 0.0000
Li: 0.3796 0.8796 0.0000
Li: 0.6204 0.1204 0.0000
Li: 0.8796 0.6204 0.0000
Er: 0.0000 0.0000 0.0000
Er: 0.1743 0.6743 0.0000
Er: 0.3257 0.1743 0.0000
Er: 0.5000 0.5000 0.0000
Er: 0.6743 0.8257 0.0000
Er: 0.8257 0.3257 0.0000
In: 0.0000 0.5000 0.5000
In: 0.0751 0.2109 0.5000
In: 0.2109 0.9249 0.5000
In: 0.2891 0.4249 0.5000
In: 0.4249 0.7109 0.5000
In: 0.5000 0.0000 0.5000
In: 0.5751 0.2891 0.5000
In: 0.7109 0.5751 0.5000
In: 0.7891 0.0751 0.5000
In: 0.9249 0.7891 0.5000

---

(5)
VASP calculation (PBE) on a relaxed structure of AlTlRu2C.

The energy of formation from the pure elements comes out at 0.71 eV/atom. The total magnetization is 0.000 μB per formula unit. The value obtained for the uncorrected energy is -30.35 eV for the cell shown.

Cell lengths 4.0875, 4.0875, 4.6992 Å; angles 90.00, 90.00, 90.00 degrees
Sites, in units of the cell vectors:
Al: 0.0000 0.0000 0.0000
Tl: 0.5000 0.5000 0.0000
Ru: 0.0000 0.5000 0.5000
Ru: 0.5000 0.0000 0.5000
C: 0.5000 0.5000 0.5000

---

(6)
VASP calculation (PBE) on a relaxed structure of AcLa5Ag4.

The energy of formation from the pure elements comes out at -0.20 eV/atom. The total magnetization is 0.000 μB per formula unit. The value obtained for the uncorrected energy is -42.17 eV for the cell shown.

Cell lengths 3.8326, 3.8326, 20.6673 Å; angles 90.00, 90.00, 90.00 degrees
Sites, in units of the cell vectors:
Ac: 0.0000 0.0000 0.0000
La: 0.5000 0.5000 0.1306
La: 0.5000 0.5000 0.3146
La: 0.5000 0.5000 0.5000
La: 0.5000 0.5000 0.6854
La: 0.5000 0.5000 0.8694
Ag: 0.0000 0.0000 0.2228
Ag: 0.0000 0.0000 0.4073
Ag: 0.0000 0.0000 0.5927
Ag: 0.0000 0.0000 0.7772